Below is an optimized crystal structure of Y2Ho3Tm4, with properties calculated at the GGA-PBE level.

- Final energy: -4.8438 eV/atom
- Formation energy: 106 meV per atom
- DOS(E_F): 1.5613 states/eV per atom
- Theoretical density: 8.05 g/cm³

CIF file:
```
data_Y2Ho3Tm4
_chemical_formula_sum 'Y4 Ho6 Tm8'
_cell_length_a 6.0684
_cell_length_b 11.1391
_cell_length_c 11.1391
_cell_angle_alpha 61.89
_cell_angle_beta 62.04
_cell_angle_gamma 62.04
_space_group_name_H-M_alt 'P 1'
_space_group_IT_number 1
_space_group_name_Hall 'P 1'
loop_
_atom_site_label
_atom_site_fract_x
_atom_site_fract_y
_atom_site_fract_z
_atom_site_occupancy
Ho1 0.2594 0.2614 0.0697 1
Tm1 0.0773 0.8136 0.0949 1
Y1 0.0750 0.4808 0.7639 1
Y2 0.9250 0.5192 0.2361 1
Y3 0.4250 0.2361 0.5192 1
Tm2 0.0842 0.1427 0.4270 1
Tm3 0.5842 0.4270 0.1427 1
Tm4 0.4158 0.5730 0.8573 1
Tm5 0.9227 0.1864 0.9051 1
Tm6 0.4227 0.9051 0.1864 1
Ho2 0.2406 0.9303 0.7386 1
Y4 0.5750 0.7639 0.4808 1
Ho3 0.7594 0.0697 0.2614 1
Tm7 0.9158 0.8573 0.5730 1
Tm8 0.5773 0.0949 0.8136 1
Ho4 0.7500 0.4015 0.5985 1
Ho5 0.7406 0.7386 0.9303 1
Ho6 0.2500 0.5985 0.4015 1
```